# MnBr

MnBr after structural relaxation (GGA-PBE, the Alexandria database).

Lattice parameters (Å, degrees): 7.7016 7.7016 3.2301 90.00 90.00 152.69
With the nearest neighbours (Å) after each atom.
Positions (direct):
Mn: 0.0451 0.9549 0.7500  2 Mn 2.11
Mn: 0.9549 0.0451 0.2500  2 Mn 2.11
Br: 0.3743 0.6257 0.7500  4 Mn 2.71
Br: 0.6257 0.3743 0.2500  4 Mn 2.71

Volume (Å³/cell): 87.91
SG: Cmcm, No. 63
Size of the total moment (μB/atom): 0.44
Total DFT energy (no corrections) (eV per atom): -4.963
Theoretical density (g/cm3): 5.1



# Na2Sb4Pd3

Na2Sb4Pd3 after structural relaxation (GGA-PBE, the Alexandria database).

Lattice parameters (Å, degrees): 8.6087 7.4099 6.0552 78.78 57.60 43.62
With the nearest neighbours (Å) after each atom.
Positions (direct):
Na: 0.1183 0.1183 0.8817  1 Na 3.22, 6 Pd 3.36-3.43, 8 Sb 3.45-3.60
Na: 0.8817 0.8817 0.1183  1 Na 3.22, 6 Pd 3.36-3.43, 8 Sb 3.45-3.60
Sb: 0.1849 0.5094 0.4906  3 Pd 2.69-2.71
Sb: 0.4906 0.8151 0.1849  3 Pd 2.69-2.71
Sb: 0.5094 0.1849 0.8151  3 Pd 2.69-2.71
Sb: 0.8151 0.4906 0.5094  3 Pd 2.69-2.71
Pd: 0.0000 0.0000 0.5000  4 Sb 2.71, 4 Pd 2.95-3.03
Pd: 0.5000 0.5000 0.0000  4 Sb 2.71, 4 Pd 2.95-3.03
Pd: 0.5000 0.5000 0.5000  4 Sb 2.69

Volume (Å³/cell): 212.24
SG: Fmmm, No. 69
Size of the total moment (μB/atom): 0.00
Total DFT energy (no corrections) (eV per atom): -4.247
Theoretical density (g/cm3): 6.7